Entry 1:
! Pm2OsPt | Alexandria | GGA-PBE | optimized geometry; values from VASP
&SYSTEM
  ibrav = 0, nat = 4, ntyp = 3
/
ATOMIC_SPECIES
Pm 145.00 Pm.upf
Os 190.23 Os.upf
Pt 195.08 Pt.upf
CELL_PARAMETERS angstrom
0.000 3.538 3.538
3.538 0.000 3.538
3.538 3.538 0.000
ATOMIC_POSITIONS angstrom
Pm 1.769 1.769 1.769
Pm 5.307 5.307 5.307
Os 0.000 0.000 0.000
Pt 3.538 3.538 3.538
! Energy above the lowest structure with this stoichiometry   0.053 eV per atom
! Magnetic moment   0.00 Bohr magnetons per cell
! SG   No. 225
! Mass density   12.66 g/cm3
! Calculated volume   88.6 Å³/f.u.
! DOS(E_F)   0.5466 states/eV/atom
! Energy relative to the elements   -465 meV per atom

Entry 2:
! Sm2DyRh | Alexandria | GGA-PBE | optimized geometry; values from VASP
&SYSTEM
  ibrav = 0, nat = 4, ntyp = 3
/
ATOMIC_SPECIES
Sm 150.36 Sm.upf
Dy 162.50 Dy.upf
Rh 102.91 Rh.upf
CELL_PARAMETERS angstrom
1.936 1.117 9.261
-1.936 1.117 9.261
0.000 -2.235 9.261
ATOMIC_POSITIONS angstrom
Sm 0.000 0.000 0.000
Sm 0.000 0.000 5.885
Dy 0.000 0.000 12.229
Rh 0.000 0.000 16.823
! Energy above the lowest structure with this stoichiometry   0.199 eV per atom
! Magnetic moment   0.56 Bohr magnetons per cell
! SG   No. 160
! Mass density   7.82 g/cm3
! Calculated volume   120.2 Å³/f.u.
! DOS(E_F)   1.2063 states/eV/atom
! Energy relative to the elements   -279 meV per atom

Entry 3:
! UMnRe | Alexandria | GGA-PBE | optimized geometry; values from VASP
&SYSTEM
  ibrav = 0, nat = 3, ntyp = 3
/
ATOMIC_SPECIES
U 238.03 U.upf
Mn 54.94 Mn.upf
Re 186.21 Re.upf
CELL_PARAMETERS angstrom
-1.801 1.801 3.900
1.801 -1.801 3.900
1.801 1.801 -3.900
ATOMIC_POSITIONS angstrom
U 0.000 0.000 0.000
Mn 0.000 0.000 2.252
Re 0.000 0.000 5.319
! Energy above the lowest structure with this stoichiometry   0.184 eV per atom
! Magnetic moment   0.27 Bohr magnetons per cell
! SG   No. 107
! Mass density   15.72 g/cm3
! Calculated volume   50.6 Å³/f.u.
! DOS(E_F)   1.2561 states/eV/atom
! Energy relative to the elements   269 meV per atom

Entry 4:
! Pa2ZnFeN5 | Alexandria | GGA-PBE | optimized geometry; values from VASP
&SYSTEM
  ibrav = 0, nat = 18, ntyp = 4
/
ATOMIC_SPECIES
Pa 231.04 Pa.upf
Zn 65.41 Zn.upf
Fe 55.84 Fe.upf
N 14.01 N.upf
CELL_PARAMETERS angstrom
1.659 -7.133 0.000
1.659 7.133 0.000
0.000 0.000 8.758
ATOMIC_POSITIONS angstrom
Pa 1.659 5.325 4.379
Pa 1.659 5.228 0.385
Pa 1.659 -5.228 4.764
Pa 1.659 -5.325 0.000
Zn 1.659 0.248 2.369
Zn 1.659 -0.248 6.748
Fe 1.659 3.858 6.744
Fe 1.659 -3.858 2.365
N 1.659 5.803 6.821
N 1.659 3.155 3.594
N 1.659 3.069 1.143
N 1.659 1.888 6.541
N 1.659 0.156 0.162
N 1.659 -0.156 4.541
N 1.659 -1.888 2.162
N 1.659 -3.069 5.522
N 1.659 -3.155 7.973
N 1.659 -5.803 2.442
! Magnetic moment   2.04 Bohr magnetons per cell
! SG   No. 36
! Mass density   10.47 g/cm3
! Calculated volume   103.6 Å³/f.u.
! DOS(E_F)   0.2335 states/eV/atom
! Raw formation energy   -816.4 meV/atom